Entry 1:
Material: KRbAgP
Method: DFT, PBE-GGA
State: optimized geometry

```
KRbAgP
1.0
6.110 0.000 0.000
0.000 5.082 3.914
0.000 -5.082 3.914
K Rb Ag P
2 2 2 2
Cartesian
0.000 -3.338 3.914
0.000 3.338 3.914
3.055 -1.749 2.184
3.055 1.749 2.184
1.520 0.000 5.032
4.590 0.000 5.032
0.000 0.000 3.077
3.055 0.000 6.972
```

Summary:
Space group   Amm2
Uncorrected energy   -2.897 eV per atom
Energy above the most stable polymorph in this dataset   0.003 eV/atom


Entry 2:
Material: PrTa2
Method: DFT, PBE-GGA
State: optimized geometry

```
PrTa2
1.0
0.000 3.352 3.352
3.352 0.000 3.352
3.352 3.352 0.000
Pr Ta
1 2
Cartesian
0.000 0.000 0.000
1.676 1.676 1.676
5.028 5.028 5.028
```

Summary:
Space group   Fm-3m
Uncorrected energy   -7.660 eV per atom
Energy above the most stable polymorph in this dataset   1.482 eV/atom
M_tot   0.01 μB per cell


Entry 3:
Material: La2PrCo2B2As3
Method: DFT, PBE-GGA
State: optimized geometry

```
La2PrCo2B2As3
1.0
-2.053 2.053 11.479
2.053 -2.053 11.479
2.053 2.053 -11.479
La Pr Co B As
2 1 2 2 3
Cartesian
0.000 0.000 3.351
0.000 0.000 19.607
0.000 0.000 11.479
2.053 0.000 5.740
0.000 2.053 5.740
0.000 0.000 6.451
0.000 0.000 16.507
0.000 0.000 0.000
0.000 0.000 8.552
0.000 0.000 14.406
```

Summary:
Space group   I4/mmm
Uncorrected energy   -6.325 eV per atom
M_tot   0.01 μB per cell


Entry 4:
Material: HoCdCuS3
Method: DFT, PBE-GGA
State: optimized geometry

```
HoCdCuS3
1.0
1.889 -6.177 0.000
1.889 6.177 0.000
0.000 0.000 10.306
Ho Cd Cu S
2 2 2 6
Cartesian
0.000 0.000 0.000
0.000 0.000 5.153
1.889 3.242 7.730
1.889 -3.242 2.577
1.889 0.263 2.577
1.889 -0.263 7.730
1.889 4.997 2.577
1.889 1.752 0.811
1.889 1.752 4.342
1.889 -1.752 5.964
1.889 -1.752 9.496
1.889 -4.997 7.730
```

Summary:
Space group   Cmcm
Uncorrected energy   -4.607 eV per atom
M_tot   0.00 μB per cell


Entry 5:
Material: SrZnSi2Ag
Method: DFT, PBE-GGA
State: optimized geometry

```
SrZnSi2Ag
1.0
-2.174 2.174 5.261
2.174 -2.174 5.261
2.174 2.174 -5.261
Sr Zn Si Ag
1 1 2 1
Cartesian
0.000 0.000 0.000
2.174 0.000 2.630
0.000 0.000 4.072
0.000 0.000 6.449
0.000 2.174 2.630
```

Summary:
Space group   I-4m2
Uncorrected energy   -3.642 eV per atom


Entry 6:
Material: PuHfU
Method: DFT, PBE-GGA
State: optimized geometry

```
PuHfU
1.0
0.000 3.177 3.177
3.177 0.000 3.177
3.177 3.177 0.000
Pu Hf U
1 1 1
Cartesian
0.000 0.000 0.000
3.177 3.177 3.177
4.765 4.765 4.765
```

Summary:
Space group   F-43m
Uncorrected energy   -10.841 eV per atom
Energy above the most stable polymorph in this dataset   0.000 eV/atom
M_tot   4.14 μB per cell